LiAlGePd, optimized geometry, DFT PBE-GGA; energy above the lowest structure with this stoichiometry = 0.000 eV/atom; space-group type = F-43m; ρ = 5.97 Mg/m³
1.0
0.000 3.095 3.095
3.095 0.000 3.095
3.095 3.095 0.000
Li Al Ge Pd
1 1 1 1
Cartesian
0.000 0.000 0.000
1.547 1.547 1.547
4.642 4.642 4.642
3.095 3.095 3.095

HfCoBiOs, optimized geometry, DFT PBE-GGA; energy above the lowest structure with this stoichiometry = 0.387 eV/atom; space-group type = F-43m; ρ = 14.76 Mg/m³
1.0
0.000 3.296 3.296
3.296 0.000 3.296
3.296 3.296 0.000
Hf Co Bi Os
1 1 1 1
Cartesian
0.000 0.000 0.000
3.296 3.296 3.296
1.648 1.648 1.648
4.944 4.944 4.944

YEr6Te2Pd2, optimized geometry, DFT PBE-GGA; final energy = -59.9 eV for the cell shown; space-group type = Imm2; ρ = 8.85 Mg/m³
1.0
-1.957 7.827 4.780
1.957 -7.827 4.780
1.957 7.827 -4.780
Y Er Te Pd
1 6 2 2
Cartesian
0.000 0.000 0.000
1.957 5.810 -0.802
1.957 2.864 1.187
0.000 2.017 3.977
0.000 5.568 2.524
0.000 10.086 2.524
0.000 4.964 5.967
1.957 0.000 2.529
0.000 0.000 6.333
1.957 -4.103 4.094
1.957 4.103 4.094

Look up the ρ of the first one. 5.97 Mg/m³